This record from Alexandria via LeMat-Bulk describes a relaxed LiZrTlRh crystal. The functional is PBE.

Output
energy relative to the elements	-346.4	meV/atom
total magnetic moment	0.00	μB/f.u.

a b c (Å): 6.565 6.565 6.565
angles (deg): 90.00 90.00 90.00
Space group F-43m (No. 216)
Unique sites:
Li  0.000  0.000  0.000
Zr  0.250  0.250  0.750
Tl  0.250  0.250  0.250
Rh  0.000  0.000  0.500